# 1
SrCd5Hg4 | the Alexandria database | PBE | optimized geometry; ρ = 9.0 g cm⁻³; energy of formation from the pure elements = -0.1267 eV per atom; space-group type = No. 2
1.0
4.525 0.000 0.000
-2.254 6.692 0.000
-0.024 -2.490 8.859
Sr Cd Hg
1 5 4
direct
0.000 0.000 0.000
0.000 0.000 0.500
0.299 0.598 0.096
0.309 0.619 0.440
0.691 0.381 0.560
0.701 0.402 0.904
0.286 0.573 0.765
0.499 0.994 0.713
0.501 0.006 0.287
0.714 0.427 0.235

***

# 2
Sr2CdHg2 | the Alexandria database | PBE | optimized geometry; ρ = 7.2 g cm⁻³; excess energy over the best structure of this formula in the dataset = 0 meV/atom; energy of formation from the pure elements = -0.4458 eV per atom; space-group type = No. 12
1.0
6.279 -2.370 0.000
6.279 2.370 0.000
-5.436 0.000 10.712
Sr Cd Hg
4 2 4
direct
0.003 0.003 0.333
0.189 0.189 0.112
0.811 0.811 0.888
0.997 0.997 0.667
0.287 0.287 0.650
0.713 0.713 0.350
0.362 0.362 0.433
0.469 0.469 0.113
0.531 0.531 0.887
0.638 0.638 0.567

***

# 3
Sr2Cd6Hg | the Alexandria database | PBE | optimized geometry; ρ = 6.9 g cm⁻³; energy of formation from the pure elements = -0.2044 eV per atom; space-group type = No. 166
1.0
3.553 2.051 5.813
-3.553 2.051 5.813
0.000 -4.103 5.813
Sr Cd Hg
2 6 1
direct
0.250 0.250 0.250
0.750 0.750 0.750
0.284 0.715 0.715
0.285 0.285 0.716
0.285 0.716 0.285
0.715 0.284 0.715
0.715 0.715 0.284
0.716 0.285 0.285
0.000 0.000 0.000

***

# 4
Sr3Cd8Hg | the Alexandria database | PBE | optimized geometry; ρ = 6.9 g cm⁻³; energy of formation from the pure elements = -0.2516 eV per atom; space-group type = No. 160
1.0
3.074 1.775 10.080
-3.074 1.775 10.080
0.000 -3.549 10.080
Sr Cd Hg
3 8 1
direct
0.000 0.000 0.000
0.129 0.129 0.129
0.614 0.614 0.614
0.058 0.562 0.562
0.060 0.060 0.563
0.060 0.563 0.060
0.311 0.311 0.311
0.562 0.058 0.562
0.562 0.562 0.058
0.563 0.060 0.060
0.811 0.811 0.811
0.494 0.494 0.494

***

# 5
Sr12CdHg6 | the Alexandria database | PBE | optimized geometry; ρ = 5.2 g cm⁻³; energy of formation from the pure elements = -0.3317 eV per atom; space-group type = No. 204
1.0
-5.740 5.740 5.740
5.740 -5.740 5.740
5.740 5.740 -5.740
Sr Cd Hg
12 1 6
direct
0.114 0.293 0.821
0.179 0.472 0.293
0.179 0.886 0.707
0.293 0.179 0.472
0.293 0.821 0.114
0.472 0.293 0.179
0.528 0.707 0.821
0.707 0.179 0.886
0.707 0.821 0.528
0.821 0.114 0.293
0.821 0.528 0.707
0.886 0.707 0.179
0.000 0.000 0.000
0.134 0.500 0.634
0.366 0.866 0.500
0.500 0.366 0.866
0.500 0.634 0.134
0.634 0.134 0.500
0.866 0.500 0.366

***

# 6
Sr2CdHg7 | the Alexandria database | PBE | optimized geometry; ρ = 8.2 g cm⁻³; energy of formation from the pure elements = -0.0582 eV per atom; space-group type = No. 225
1.0
0.000 5.550 5.550
5.550 0.000 5.550
5.550 5.550 0.000
Sr Cd Hg
2 1 7
direct
0.250 0.250 0.250
0.750 0.750 0.750
0.000 0.000 0.000
0.249 0.249 0.751
0.249 0.751 0.249
0.249 0.751 0.751
0.500 0.500 0.500
0.751 0.249 0.249
0.751 0.249 0.751
0.751 0.751 0.249

***

# 7
SrCd10Hg2 | the Alexandria database | PBE | optimized geometry; ρ = 8.5 g cm⁻³; energy of formation from the pure elements = -0.0964 eV per atom; space-group type = No. 69
1.0
0.000 7.176 7.189
3.045 0.000 7.189
3.045 7.176 0.000
Sr Cd Hg
1 10 2
direct
0.000 0.000 0.000
0.000 0.500 0.000
0.002 0.355 0.645
0.286 0.500 0.500
0.355 0.002 0.998
0.500 0.000 0.500
0.500 0.286 0.714
0.500 0.714 0.286
0.645 0.998 0.002
0.714 0.500 0.500
0.998 0.645 0.355
0.000 0.000 0.500
0.500 0.500 0.000

***

# 8
Sr2Cd3Hg5 | the Alexandria database | PBE | optimized geometry; ρ = 9.0 g cm⁻³; excess energy over the best structure of this formula in the dataset = 10 meV/atom; energy of formation from the pure elements = -0.2784 eV per atom; space-group type = No. 72
1.0
-6.512 6.537 3.286
6.512 -6.537 3.286
6.512 6.537 -3.286
Sr Cd Hg
4 6 10
direct
0.127 0.241 0.368
0.373 0.741 0.114
0.627 0.259 0.886
0.873 0.759 0.632
0.132 0.868 0.000
0.250 0.750 0.500
0.368 0.368 0.736
0.632 0.632 0.264
0.750 0.250 0.500
0.868 0.132 0.000
0.012 0.750 0.262
0.113 0.653 0.766
0.250 0.250 0.000
0.387 0.153 0.539
0.488 0.750 0.738
0.512 0.250 0.262
0.613 0.847 0.461
0.750 0.750 0.000
0.887 0.347 0.234
0.988 0.250 0.738

***

# 9
Sr5Cd4Hg | the Alexandria database | PBE | optimized geometry; ρ = 5.5 g cm⁻³; energy of formation from the pure elements = -0.3715 eV per atom; space-group type = No. 123
1.0
4.028 0.000 0.000
0.000 4.028 0.000
0.000 0.000 20.427
Sr Cd Hg
5 4 1
direct
0.000 0.000 0.000
0.000 0.000 0.201
0.000 0.000 0.403
0.000 0.000 0.597
0.000 0.000 0.799
0.500 0.500 0.101
0.500 0.500 0.301
0.500 0.500 0.699
0.500 0.500 0.899
0.500 0.500 0.500

***

# 10
Sr4CdHg | the Alexandria database | PBE | optimized geometry; ρ = 4.2 g cm⁻³; excess energy over the best structure of this formula in the dataset = 112 meV/atom; energy of formation from the pure elements = -0.1916 eV per atom; space-group type = No. 12
1.0
9.923 0.000 0.000
0.000 5.741 0.000
-3.324 0.000 9.131
Sr Cd Hg
8 2 2
direct
0.123 0.000 0.370
0.128 0.500 0.883
0.372 0.000 0.117
0.377 0.500 0.630
0.623 0.500 0.370
0.628 0.000 0.883
0.872 0.500 0.117
0.877 0.000 0.630
0.000 0.500 0.500
0.500 0.000 0.500
0.000 0.000 0.000
0.500 0.500 0.000

***

# 11
SrCd2Hg | the Alexandria database | PBE | optimized geometry; ρ = 7.5 g cm⁻³; energy of formation from the pure elements = -0.2133 eV per atom; space-group type = No. 123
1.0
3.977 0.000 0.000
0.000 3.977 0.000
0.000 0.000 7.193
Sr Cd Hg
1 2 1
direct
0.000 0.000 0.000
0.500 0.500 0.288
0.500 0.500 0.712
0.000 0.000 0.500

***

# 12
Sr3Cd2Hg6 | the Alexandria database | PBE | optimized geometry; ρ = 8.3 g cm⁻³; energy of formation from the pure elements = -0.2977 eV per atom; space-group type = No. 139
1.0
-2.221 2.221 17.177
2.221 -2.221 17.177
2.221 2.221 -17.177
Sr Cd Hg
3 2 6
direct
0.000 0.000 0.000
0.180 0.180 0.000
0.820 0.820 0.000
0.364 0.364 0.000
0.636 0.636 0.000
0.075 0.575 0.500
0.276 0.276 0.000
0.425 0.925 0.500
0.575 0.075 0.500
0.724 0.724 0.000
0.925 0.425 0.500

***

> energy of formation from the pure elements of number 5 (Sr12CdHg6)?

-0.3317 eV per atom